[1]
NiPtRh2 after structural relaxation. Source: Alexandria via LeMat-Bulk, functional PBE-GGA.

Calculated values
The total energy is -6.589 eV/atom. Its space-group type is R-3m (166). The value obtained for the formation energy is 0.0421 eV/atom. Its mass density is 13.662 g cm⁻³.

Lattice parameters (Å, degrees): 8.8428 8.8428 8.8428 17.71 17.71 17.71
With the nearest neighbours (Å) after each atom.
Atoms (fractional coordinates):
Ni 0.0000 0.0000 0.0000  6 Rh 2.57, 6 Ni 2.72
Pt 0.5000 0.5000 0.5000  6 Pt 2.72, 6 Rh 2.80
Rh 0.2554 0.2554 0.2554  3 Ni 2.57, 6 Rh 2.72, 3 Pt 2.80
Rh 0.7446 0.7446 0.7446  3 Ni 2.57, 6 Rh 2.72, 3 Pt 2.80

[2]
Pr2AlC after structural relaxation. Source: Alexandria via LeMat-Bulk, functional PBE-GGA.

Calculated values
The total energy is -5.448 eV/atom. Its space-group type is R-3m (166). The value obtained for the formation energy is 0.1836 eV/atom. Its mass density is 4.923 g cm⁻³.

Lattice parameters (Å, degrees): 9.6649 9.6649 9.6649 21.70 21.70 21.70
With the nearest neighbours (Å) after each atom.
Atoms (fractional coordinates):
Pr 0.1160 0.1160 0.1160  3 C 2.54
Pr 0.8840 0.8840 0.8840  3 C 2.54
Al 0.0000 0.0000 0.0000  2 Pr 3.28, 6 Al 3.64
C 0.5000 0.5000 0.5000  6 Pr 2.54

[3]
La6Sb3P2Br after structural relaxation. Source: Alexandria via LeMat-Bulk, functional PBE-GGA.

Calculated values
The total energy is -5.952 eV/atom. Its space-group type is C2/m (12). Its mass density is 5.885 g cm⁻³. The value obtained for the raw formation energy is -1.4166 eV/atom.

Lattice parameters (Å, degrees): 9.9665 9.9665 8.9493 102.32 102.32 25.86
With the nearest neighbours (Å) after each atom.
Atoms (fractional coordinates):
La 0.0102 0.0102 0.2610  1 P 2.99, 3 Sb 3.13-3.24, 2 Br 3.20
La 0.3279 0.3279 0.4281  3 P 3.04-3.08, 3 Sb 3.26-3.29
La 0.3277 0.3277 0.8943  2 P 3.03, 3 Sb 3.17-3.26, 1 Br 3.27
La 0.6723 0.6723 0.1057  2 P 3.03, 3 Sb 3.17-3.26, 1 Br 3.27
La 0.6721 0.6721 0.5719  3 P 3.04-3.08, 3 Sb 3.26-3.29
La 0.9898 0.9898 0.7390  1 P 2.99, 3 Sb 3.13-3.24, 2 Br 3.20
Sb 0.1605 0.1605 0.8353  6 La 3.17-3.29
Sb 0.5000 0.5000 0.5000  6 La 3.13-3.26
Sb 0.8395 0.8395 0.1647  6 La 3.17-3.29
P 0.1677 0.1677 0.3333  6 La 2.99-3.08
P 0.8323 0.8323 0.6667  6 La 2.99-3.08
Br 0.5000 0.5000 0.0000  6 La 3.20-3.27

Question: The lowest mass density belongs to which entry?
Answer: Pr2AlC

Question: Which of these has the lowest mass density?
Answer: Pr2AlC

Question: mass density of number 2 (Pr2AlC)?
Answer: 4.923 g cm⁻³

Question: mass density of number 3 (La6Sb3P2Br)?
Answer: 5.885 g cm⁻³